# 1
## MgSiSe2N (PBE)

Data for MgSiSe2N after structural relaxation.

Cell: 5.150 5.150 3.948 Å, 90.00 90.00 90.00°
Positions (direct):
Se  0.000  0.500  0.000
Mg  0.000  0.000  0.000
Se  0.500  0.000  0.000
N  0.000  0.000  0.500
Si  0.500  0.500  0.500

Calculated values
E above lowest polymorph (eV/atom): 0.9384
Magnetization (μB/atom): 0.396
E (eV/atom): -3.6517
Uncorrected formation energy (eV/atom): 0.81

# 2
## MgSnSeN2 (PBE)

Data for MgSnSeN2 after structural relaxation.

Cell: 4.221 4.221 5.373 Å, 90.00 90.00 90.00°
Positions (direct):
N  0.000  0.500  0.000
N  0.500  0.000  0.000
Sn  0.500  0.500  0.500
Mg  0.000  0.000  0.000
Se  0.000  0.000  0.500

Calculated values
E above lowest polymorph (eV/atom): 0.1639
Magnetization (μB/atom): 0.781
E (eV/atom): -4.1819
Uncorrected formation energy (eV/atom): 0.96

# 3
## MgSnSeN2 (PBE)

Data for MgSnSeN2 after structural relaxation.

Cell: 4.075 4.075 5.801 Å, 90.00 90.00 90.00°
Positions (direct):
Se  0.000  0.000  0.500
Sn  0.000  0.000  0.000
Mg  0.500  0.500  0.500
N  0.000  0.500  0.000
N  0.500  0.000  0.000

Calculated values
E above lowest polymorph (eV/atom): 0.0000
Magnetization (μB/atom): 0.375
E (eV/atom): -4.3459
Uncorrected formation energy (eV/atom): 0.80